This record from the Alexandria database describes a relaxed structure of Li3ThRh2. The functional is PBE-GGA.

```
Li3ThRh2
1.0
3.866 0.000 0.000
-1.933 5.910 -3.683
0.000 -0.519 9.309
Li Th Rh
6 2 4
direct
0.252 0.505 0.405
0.930 0.859 0.577
0.582 0.164 0.677
0.418 0.836 0.323
0.070 0.141 0.423
0.748 0.495 0.595
0.877 0.754 0.010
0.123 0.246 0.990
0.441 0.883 0.802
0.559 0.117 0.198
0.773 0.546 0.223
0.227 0.454 0.777
```

Computed properties:
DFT formation energy ... -42.3 kJ per mole of atoms

---

This record from the Alexandria database describes a relaxed structure of ZrHIr2Rh. The functional is PBE-GGA.

```
ZrHIr2Rh
1.0
4.023 0.000 0.000
0.000 4.023 0.000
0.000 0.000 4.029
H Ir Rh Zr
1 2 1 1
direct
0.000 0.000 0.000
0.000 0.500 0.000
0.500 0.000 0.000
0.000 0.000 0.500
0.500 0.500 0.500
```

Computed properties:
Uncorrected energy ... -7.969 eV/atom

---

This record from the Alexandria database describes a relaxed structure of Tl3CdTc2O9. The functional is PBE-GGA.

```
Tl3CdTc2O9
1.0
5.803 0.000 0.000
-2.901 5.025 0.000
0.000 0.000 7.288
Tl Cd Tc O
3 1 2 9
direct
0.333 0.667 0.672
0.000 0.000 0.000
0.667 0.333 0.328
0.000 0.000 0.500
0.333 0.667 0.163
0.667 0.333 0.837
0.821 0.179 0.699
0.821 0.641 0.699
0.359 0.179 0.699
0.641 0.821 0.301
0.179 0.359 0.301
0.179 0.821 0.301
0.500 0.000 0.000
0.000 0.500 0.000
0.500 0.500 0.000
```

Computed properties:
E_form (uncorrected) ... -1.042 eV/atom

---

This record from the Alexandria database describes a relaxed structure of Nd2Cu4SiGe3. The functional is PBE-GGA.

```
Nd2Cu4SiGe3
1.0
-1.675 -3.189 -2.113
1.881 -2.695 2.576
-8.013 0.196 6.057
Nd Cu Si Ge
2 4 1 3
direct
0.500 0.000 0.251
0.000 0.500 0.749
0.500 0.500 0.000
0.000 0.000 0.000
0.500 0.000 0.626
0.000 0.500 0.374
0.500 0.500 0.500
0.000 0.000 0.500
0.500 0.000 0.868
0.000 0.500 0.132
```

Computed properties:
E_form (uncorrected) ... -0.513 eV/atom

---

This record from the Alexandria database describes a relaxed structure of LaCr2Si2C. The functional is PBE-GGA.

```
LaCr2Si2C
1.0
-2.804 -1.418 2.508
2.871 -1.671 2.264
0.331 4.560 2.948
La Cr Si C
1 2 2 1
direct
0.000 0.000 0.000
0.000 0.500 0.500
0.500 0.000 0.500
0.500 0.500 0.762
0.500 0.500 0.238
0.000 0.000 0.500
```

Computed properties:
E_form (uncorrected) ... -0.440 eV/atom

---

This record from the Alexandria database describes a relaxed structure of SmPaCuPd. The functional is PBE-GGA.

```
SmPaCuPd
1.0
4.979 0.000 0.000
2.489 4.312 0.000
2.489 1.437 4.065
Pa Pd Sm Cu
1 1 1 1
direct
0.000 0.000 0.000
0.750 0.750 0.750
0.500 0.500 0.500
0.250 0.250 0.250
```

Computed properties:
DFT formation energy ... -17.8 kJ per mole of atoms

---

This record from the Alexandria database describes a relaxed structure of TaRu2Rh. The functional is PBE-GGA.

```
TaRu2Rh
1.0
3.944 0.000 0.000
0.000 3.880 0.000
0.000 0.000 3.880
Ru Rh Ta
2 1 1
direct
0.000 0.000 0.000
0.000 0.500 0.500
0.500 0.000 0.500
0.500 0.500 0.000
```

Computed properties:
DFT formation energy ... -32.3 kJ per mole of atoms

---

This record from the Alexandria database describes a relaxed structure of Y2SbIr. The functional is PBE-GGA.

```
Y2SbIr
1.0
-1.849 6.698 -3.774
-7.347 -2.684 -1.163
-5.552 3.369 0.415
Y Sb Ir
4 2 2
direct
0.668 0.125 0.250
0.082 0.625 0.250
0.375 0.332 0.750
0.875 0.918 0.750
0.500 0.500 0.000
0.250 0.750 0.500
0.000 0.000 0.000
0.750 0.250 0.500
```

Computed properties:
E_form (uncorrected) ... -0.478 eV/atom

---

This record from the Alexandria database describes a relaxed structure of TlZnRu2. The functional is PBE-GGA.

```
TlZnRu2
1.0
9.346 -0.020 -0.012
8.893 2.874 -0.012
8.893 1.392 2.515
Ru Tl Zn
2 1 1
direct
0.997 0.997 0.997
0.260 0.260 0.260
0.503 0.503 0.503
0.740 0.740 0.740
```

Computed properties:
DFT formation energy ... 39.0 kJ per mole of atoms

---

This record from the Alexandria database describes a relaxed structure of PmPrDy5Tm2. The functional is PBE-GGA.

```
PmPrDy5Tm2
1.0
5.611 0.000 0.000
-2.806 9.939 0.000
0.000 0.000 10.567
Pm Pr Dy Tm
2 2 10 4
direct
0.799 0.599 0.513
0.201 0.401 0.013
0.583 0.166 0.948
0.417 0.834 0.448
0.390 0.781 0.025
0.719 0.438 0.811
0.477 0.954 0.736
0.298 0.597 0.709
0.983 0.966 0.526
0.610 0.219 0.525
0.281 0.562 0.311
0.523 0.046 0.236
0.702 0.403 0.209
0.017 0.034 0.026
0.886 0.772 0.821
0.111 0.222 0.735
0.114 0.228 0.321
0.889 0.778 0.235
```

Computed properties:
DFT formation energy ... 15.7 kJ per mole of atoms

---

This record from the Alexandria database describes a relaxed structure of SmHo5Er5. The functional is PBE-GGA.

```
SmHo5Er5
1.0
6.638 -0.041 1.970
-4.259 7.857 -3.026
2.889 0.251 7.601
Sm Ho Er
1 5 5
direct
0.000 0.000 0.000
0.854 0.642 0.158
0.745 0.655 0.674
0.500 0.000 0.000
0.255 0.345 0.326
0.146 0.358 0.842
0.681 0.283 0.353
0.664 0.318 0.791
0.000 0.000 0.500
0.336 0.682 0.209
0.319 0.717 0.647
```

Computed properties:
DFT formation energy ... 13.8 kJ per mole of atoms

---

This record from the Alexandria database describes a relaxed structure of MoSe3. The functional is PBE-GGA.

```
MoSe3
1.0
9.972 0.019 0.011
9.455 3.169 0.011
9.455 1.551 2.763
Mo Se
1 3
direct
0.000 0.000 0.000
0.727 0.727 0.727
0.500 0.500 0.500
0.273 0.273 0.273
```

Computed properties:
E_form (uncorrected) ... -0.119 eV/atom

---

This record from the Alexandria database describes a relaxed structure of Fe2AsW. The functional is PBE-GGA.

```
Fe2AsW
1.0
-3.413 -3.981 -0.658
2.129 -1.046 -4.723
2.763 -5.807 -0.425
As Fe W
2 4 2
direct
0.500 0.500 0.000
0.250 0.750 0.500
0.616 0.125 0.250
0.134 0.625 0.250
0.375 0.384 0.750
0.875 0.866 0.750
0.000 0.000 0.000
0.750 0.250 0.500
```

Computed properties:
DFT formation energy ... 86.8 kJ per mole of atoms

---

This record from the Alexandria database describes a relaxed structure of PmLuCd2. The functional is PBE-GGA.

```
PmLuCd2
1.0
-3.352 -4.004 -0.974
-1.379 -3.321 3.910
-4.930 0.123 1.974
Cd Lu Pm
2 1 1
direct
0.250 0.250 0.250
0.750 0.750 0.750
0.500 0.500 0.500
0.000 0.000 0.000
```

Computed properties:
DFT formation energy ... -29.7 kJ per mole of atoms

---

This record from the Alexandria database describes a relaxed structure of Re2RuAu. The functional is PBE-GGA.

```
Re2RuAu
1.0
5.630 0.015 -0.002
2.977 4.779 0.002
-3.661 -3.551 2.385
Au Re Ru
1 2 1
direct
0.738 0.238 0.500
0.029 0.029 0.000
0.259 0.759 0.500
0.474 0.474 0.000
```

Computed properties:
DFT formation energy ... 49.0 kJ per mole of atoms

---

This record from the Alexandria database describes a relaxed structure of Ca4Ag3Pb2. The functional is PBE-GGA.

```
Ca4Ag3Pb2
1.0
-1.549 2.440 -4.183
3.002 -1.040 -4.808
-3.737 -8.013 -3.289
Ca Ag Pb
4 3 2
direct
0.639 0.722 0.892
0.066 0.868 0.350
0.934 0.132 0.650
0.361 0.278 0.108
0.366 0.268 0.436
0.000 0.000 0.000
0.634 0.732 0.564
0.269 0.462 0.739
0.731 0.538 0.261
```

Computed properties:
DFT formation energy ... -37.1 kJ per mole of atoms

---

This record from the Alexandria database describes a relaxed structure of La16Sm7Dy6. The functional is PBE-GGA.

```
La16Sm7Dy6
1.0
9.964 0.000 5.753
3.321 9.394 5.753
0.000 0.000 11.506
La Sm Dy
16 7 6
direct
0.875 0.875 0.375
0.875 0.875 0.875
0.875 0.375 0.875
0.375 0.875 0.875
0.125 0.125 0.125
0.125 0.125 0.625
0.125 0.625 0.125
0.625 0.125 0.125
0.651 0.651 0.048
0.651 0.651 0.651
0.651 0.048 0.651
0.048 0.651 0.651
0.349 0.349 0.349
0.349 0.349 0.952
0.349 0.952 0.349
0.952 0.349 0.349
0.000 0.000 0.000
0.500 0.000 0.500
0.000 0.500 0.000
0.000 0.500 0.500
0.500 0.000 0.000
0.000 0.000 0.500
0.500 0.500 0.000
0.262 0.738 0.262
0.738 0.262 0.738
0.738 0.262 0.262
0.262 0.738 0.738
0.738 0.738 0.262
0.262 0.262 0.738
```

Computed properties:
DFT formation energy ... 19.1 kJ per mole of atoms

---

This record from the Alexandria database describes a relaxed structure of HoNi3H3. The functional is PBE-GGA.

```
HoNi3H3
1.0
5.217 0.000 3.012
1.739 4.919 3.012
0.000 0.000 6.025
Ho Ni H
2 6 6
direct
0.250 0.250 0.250
0.750 0.750 0.750
0.197 0.803 0.803
0.197 0.803 0.197
0.197 0.197 0.803
0.803 0.197 0.803
0.803 0.197 0.197
0.803 0.803 0.197
0.369 0.631 0.369
0.369 0.631 0.631
0.369 0.369 0.631
0.631 0.369 0.631
0.631 0.369 0.369
0.631 0.631 0.369
```

Computed properties:
Uncorrected energy ... -4.382 eV/atom

---

This record from the Alexandria database describes a relaxed structure of Ca3Zn6Sn5. The functional is PBE-GGA.

```
Ca3Zn6Sn5
1.0
4.448 0.000 0.000
0.000 10.862 0.000
0.000 0.000 13.192
Ca Zn Sn
6 12 10
direct
0.000 0.246 0.684
0.500 0.754 0.184
0.500 0.754 0.816
0.000 0.252 0.000
0.500 0.748 0.500
0.000 0.246 0.316
0.000 0.976 0.859
0.500 0.024 0.641
0.500 0.371 0.844
0.500 0.533 0.000
0.000 0.467 0.500
0.000 0.629 0.656
0.000 0.629 0.344
0.500 0.958 0.000
0.000 0.976 0.141
0.500 0.371 0.156
0.000 0.042 0.500
0.500 0.024 0.359
0.000 0.521 0.853
0.000 0.876 0.661
0.000 0.778 0.000
0.500 0.479 0.647
0.500 0.222 0.500
0.000 0.521 0.147
0.500 0.479 0.353
0.000 0.876 0.339
0.500 0.124 0.839
0.500 0.124 0.161
```

Computed properties:
DFT formation energy ... -30.0 kJ per mole of atoms

---

This record from the Alexandria database describes a relaxed structure of NbTlSe2. The functional is PBE-GGA.

```
NbTlSe2
1.0
8.304 0.000 0.000
0.000 4.095 0.000
0.000 0.000 13.684
Tl Nb Se
4 4 8
direct
0.390 0.250 0.350
0.110 0.750 0.850
0.610 0.750 0.650
0.890 0.250 0.150
0.032 0.250 0.576
0.468 0.750 0.076
0.968 0.750 0.424
0.532 0.250 0.924
0.791 0.250 0.458
0.709 0.750 0.958
0.209 0.750 0.542
0.291 0.250 0.042
0.375 0.250 0.770
0.125 0.750 0.270
0.625 0.750 0.230
0.875 0.250 0.730
```

Computed properties:
E_form (uncorrected) ... -0.496 eV/atom

---

This record from the Alexandria database describes a relaxed structure of ScTaSe2Br. The functional is PBE-GGA.

```
ScTaSe2Br
1.0
5.054 0.000 0.000
0.000 5.054 0.000
0.000 0.000 5.070
Sc Se Br Ta
1 2 1 1
direct
0.500 0.500 0.500
0.000 0.500 0.000
0.500 0.000 0.000
0.000 0.000 0.500
0.000 0.000 0.000
```

Computed properties:
E_form (uncorrected) ... -0.165 eV/atom

---

This record from the Alexandria database describes a relaxed structure of NpZnIn2O8. The functional is PBE-GGA.

```
NpZnIn2O8
1.0
-2.042 4.237 -1.582
-2.840 -2.773 -2.966
-4.617 -0.892 4.668
Np Zn In O
1 1 2 8
direct
0.000 0.000 0.000
0.000 0.000 0.500
0.477 0.523 0.740
0.523 0.477 0.260
0.198 0.800 0.208
0.697 0.699 0.000
0.828 0.174 0.246
0.802 0.200 0.792
0.303 0.301 0.000
0.172 0.826 0.754
0.705 0.707 0.500
0.295 0.293 0.500
```

Computed properties:
E_form (uncorrected) ... -1.684 eV/atom

---

Number 1: volume 17.1 Å³ per atom. Number 2: volume 13.0 Å³ per atom. Number 3: volume 14.2 Å³ per atom. Number 4: volume 17.5 Å³ per atom. Number 5: volume 14.7 Å³ per atom. Number 6: volume 21.8 Å³ per atom. Number 7: volume 14.8 Å³ per atom. Number 8: volume 26.0 Å³ per atom. Number 9: volume 17.1 Å³ per atom. Number 10: volume 32.7 Å³ per atom. Number 11: volume 32.2 Å³ per atom. Number 12: volume 21.6 Å³ per atom. Number 13: volume 18.3 Å³ per atom. Number 14: volume 26.5 Å³ per atom. Number 15: volume 16.0 Å³ per atom. Number 16: volume 26.6 Å³ per atom. Number 17: volume 37.1 Å³ per atom. Number 18: volume 11.0 Å³ per atom. Number 19: volume 22.8 Å³ per atom. Number 20: volume 29.1 Å³ per atom. Number 21: volume 25.9 Å³ per atom. Number 22: volume 13.5 Å³ per atom.